Sm5Er12Mg2 | PBE-GGA | relaxed

```
Sm5Er12Mg2
1.0
7.737 -4.598 0.000
7.737 4.598 0.000
-0.202 0.000 8.350
Sm Er Mg
5 12 2
direct
0.000 0.000 0.000
0.234 0.234 0.074
0.295 0.295 0.483
0.705 0.705 0.517
0.766 0.766 0.926
0.035 0.672 0.260
0.078 0.078 0.380
0.182 0.564 0.827
0.328 0.965 0.740
0.436 0.818 0.173
0.443 0.443 0.167
0.557 0.557 0.833
0.564 0.182 0.827
0.672 0.035 0.260
0.818 0.436 0.173
0.922 0.922 0.620
0.965 0.328 0.740
0.331 0.669 0.500
0.669 0.331 0.500
```

* raw total energy: -4.195 eV per atom
* crystal system: monoclinic
* Fermi-level density of states: 1.4749 states/eV per atom